[1]
{"formula": "Mg2ScRh", "functional": "GGA-PBE", "state": "optimized geometry", "lattice_angstrom": [[-3.162, -3.754, 1.195], [5.457, -1.408, 0.387], [0.393, -0.039, 3.015]], "species": ["Mg", "Sc", "Rh", "Mg"], "fractional_positions": [[0.000, 0.000, 0.000], [0.500, 0.500, 0.000], [0.000, 0.500, 0.500], [0.500, 0.000, 0.500]], "volume_a3_per_atom": 18.74, "total_magnetization_mub_per_fu": 0.00, "space_group": "C2/m", "final_energy_ev_per_cell": -17.675, "e_form_ev_per_atom": -0.20}


[2]
{"formula": "KErF4", "functional": "GGA-PBE", "state": "optimized geometry", "lattice_angstrom": [[-3.844, 11.125, 7.785], [-9.827, -7.997, -6.215], [-0.408, -5.952, 8.305]], "species": ["F", "F", "F", "F", "Er", "F", "F", "F", "F", "F", "K", "F", "Er", "F", "K", "F", "F", "Er", "F", "F", "F", "Er", "K", "K", "F", "F", "F", "F", "F", "F", "K", "K", "F", "K", "F", "F", "Er", "Er", "K", "F", "F", "F", "F", "K", "F", "K", "F", "F", "F", "F", "Er", "F", "F", "F", "F", "Er", "F", "F", "K", "F", "F", "F", "K", "F", "K", "F", "F", "F", "F", "Er", "F", "K", "Er", "F", "K", "F", "Er", "F", "Er", "F", "F", "F", "K", "F", "F", "F", "Er", "F", "F", "K", "Er", "Er", "F", "F", "Er", "F", "F", "F", "F", "F", "Er", "Er", "F", "F", "F", "F", "F", "K"], "fractional_positions": [[0.555, 0.642, 0.271], [0.216, 0.962, 0.270], [0.285, 0.544, 0.478], [0.603, 0.147, 0.795], [0.878, 0.759, 0.991], [0.564, 0.936, 0.396], [0.023, 0.762, 0.061], [0.945, 0.006, 0.657], [0.743, 0.609, 0.090], [0.942, 0.129, 0.867], [0.723, 0.122, 0.314], [0.202, 0.273, 0.902], [0.553, 0.459, 0.670], [0.994, 0.939, 0.990], [0.553, 0.946, 0.652], [0.727, 0.329, 0.337], [0.057, 0.582, 0.240], [0.550, 0.271, 0.342], [0.277, 0.669, 0.663], [0.852, 0.600, 0.903], [0.671, 0.398, 0.670], [0.241, 0.119, 0.325], [0.042, 0.771, 0.316], [0.379, 0.932, 0.347], [0.393, 0.723, 0.330], [0.061, 0.055, 0.324], [0.088, 0.270, 0.089], [0.748, 0.148, 0.570], [0.739, 0.977, 0.728], [0.421, 0.301, 0.724], [0.726, 0.789, 0.679], [0.063, 0.274, 0.346], [0.358, 0.913, 0.605], [0.896, 0.283, 0.011], [0.038, 0.254, 0.603], [0.064, 0.629, 0.730], [0.222, 0.426, 0.996], [0.541, 0.094, 0.004], [0.400, 0.277, 0.981], [0.198, 0.125, 0.110], [0.906, 0.304, 0.265], [0.875, 0.072, 0.444], [0.186, 0.058, 0.533], [0.878, 0.600, 0.647], [0.853, 0.456, 0.128], [0.068, 0.446, 0.681], [0.746, 0.784, 0.937], [0.408, 0.934, 0.093], [0.928, 0.802, 0.777], [0.526, 0.592, 0.760], [0.906, 0.447, 0.337], [0.398, 0.094, 0.932], [0.525, 0.943, 0.907], [0.123, 0.069, 0.806], [0.371, 0.436, 0.063], [0.392, 0.608, 0.658], [0.593, 0.213, 0.527], [0.265, 0.788, 0.872], [0.229, 0.271, 0.649], [0.238, 0.261, 0.395], [0.182, 0.912, 0.756], [0.527, 0.800, 0.115], [0.387, 0.104, 0.677], [0.400, 0.252, 0.237], [0.554, 0.621, 0.014], [0.456, 0.741, 0.811], [0.931, 0.054, 0.139], [0.866, 0.257, 0.757], [0.620, 0.407, 0.193], [0.721, 0.450, 0.009], [0.727, 0.929, 0.235], [0.717, 0.613, 0.344], [0.729, 0.279, 0.675], [0.864, 0.400, 0.551], [0.211, 0.937, 0.012], [0.946, 0.877, 0.473], [0.882, 0.947, 0.321], [0.696, 0.602, 0.599], [0.053, 0.935, 0.654], [0.536, 0.136, 0.217], [0.071, 0.798, 0.569], [0.730, 0.818, 0.422], [0.054, 0.606, 0.985], [0.272, 0.473, 0.782], [0.871, 0.814, 0.200], [0.699, 0.120, 0.057], [0.204, 0.778, 0.663], [0.418, 0.475, 0.574], [0.523, 0.735, 0.538], [0.394, 0.447, 0.318], [0.881, 0.122, 0.658], [0.065, 0.118, 0.988], [0.880, 0.579, 0.390], [0.212, 0.477, 0.205], [0.215, 0.608, 0.325], [0.600, 0.464, 0.884], [0.787, 0.380, 0.860], [0.200, 0.728, 0.449], [0.087, 0.445, 0.938], [0.391, 0.134, 0.423], [0.574, 0.796, 0.329], [0.392, 0.785, 0.992], [0.259, 0.715, 0.145], [0.066, 0.474, 0.427], [0.602, 0.273, 0.003], [0.544, 0.397, 0.462], [0.331, 0.607, 0.997], [0.729, 0.958, 0.983]], "volume_a3_per_atom": 16.33, "total_magnetization_mub_per_fu": 0.11, "space_group": "P3_1", "final_energy_ev_per_cell": -642.482, "formation_energy_uncorrected_ev_per_atom": -3.7580}


[3]
{"formula": "PrZn3Cu", "functional": "GGA-PBE", "state": "optimized geometry", "lattice_angstrom": [[-0.040, -2.771, -4.551], [6.101, 1.514, -0.976], [-1.491, -5.276, 3.226]], "species": ["Cu", "Zn", "Cu", "Zn", "Zn", "Zn", "Pr", "Zn", "Zn", "Pr"], "fractional_positions": [[0.000, 0.000, 0.000], [0.750, 0.190, 0.381], [0.500, 0.000, 0.000], [0.250, 0.810, 0.619], [0.750, 0.619, 0.810], [0.750, 0.190, 0.810], [0.250, 0.333, 0.667], [0.250, 0.810, 0.190], [0.250, 0.381, 0.190], [0.750, 0.667, 0.333]], "volume_a3_per_atom": 18.67, "total_magnetization_mub_per_fu": 0.00, "space_group": "P6_3/mmc", "final_energy_ev_per_cell": -27.858, "e_form_ev_per_atom": -0.25, "e_above_lowest_polymorph_mev_per_atom": 21.4}


[4]
{"formula": "Rb2LiH", "functional": "GGA-PBE", "state": "optimized geometry", "lattice_angstrom": [[8.660, 0.000, 0.000], [0.000, 8.660, 0.000], [4.330, 4.330, 5.100]], "species": ["H", "Rb", "Rb", "Li", "H", "Rb", "Li", "Rb"], "fractional_positions": [[0.250, 0.750, 0.500], [0.241, 0.625, 0.250], [0.509, 0.125, 0.250], [0.750, 0.250, 0.500], [0.500, 0.500, 0.000], [0.375, 0.491, 0.750], [0.000, 0.000, 0.000], [0.875, 0.759, 0.750]], "volume_a3_per_atom": 47.81, "total_magnetization_mub_per_fu": 0.00, "space_group": "I-42d", "final_energy_ev_per_cell": -13.421, "e_above_lowest_polymorph_mev_per_atom": 0.0}


[5]
{"formula": "BeAlFeIr", "functional": "GGA-PBE", "state": "optimized geometry", "lattice_angstrom": [[4.044, 0.000, 0.000], [2.022, 3.502, 0.000], [2.022, 1.167, 3.302]], "species": ["Fe", "Be", "Ir", "Al"], "fractional_positions": [[0.500, 0.500, 0.500], [0.250, 0.250, 0.250], [0.000, 0.000, 0.000], [0.750, 0.750, 0.750]], "volume_a3_per_atom": 11.69, "total_magnetization_mub_per_fu": 1.22, "space_group": "F-43m", "final_energy_ev_per_cell": -26.575, "e_form_ev_per_atom": -0.45}


[6]
{"formula": "ZrMnIn2", "functional": "GGA-PBE", "state": "optimized geometry", "lattice_angstrom": [[-1.372, 4.655, 0.172], [-2.327, 1.987, -3.771], [-4.708, 1.131, 0.374]], "species": ["In", "In", "Mn", "Zr"], "fractional_positions": [[0.750, 0.750, 0.750], [0.000, 0.000, 0.000], [0.500, 0.500, 0.500], [0.250, 0.250, 0.250]], "volume_a3_per_atom": 20.25, "total_magnetization_mub_per_fu": 2.31, "space_group": "F-43m", "final_energy_ev_per_cell": -22.496, "e_form_ev_per_atom": 0.17}


[7]
{"formula": "LaTb2Pa", "functional": "GGA-PBE", "state": "optimized geometry", "lattice_angstrom": [[3.430, 0.000, 0.000], [0.000, 3.430, 0.000], [0.000, 0.000, 10.492]], "species": ["Tb", "La", "Tb", "Pa"], "fractional_positions": [[0.000, 0.000, 0.224], [0.500, 0.500, 0.500], [0.000, 0.000, 0.776], [0.500, 0.500, 0.000]], "volume_a3_per_atom": 30.86, "total_magnetization_mub_per_fu": 0.00, "space_group": "P4/mmm", "final_energy_ev_per_cell": -23.163, "e_form_ev_per_atom": 0.13, "e_above_lowest_polymorph_mev_per_atom": 0.0}


[8]
{"formula": "Tl2In4SnHg", "functional": "GGA-PBE", "state": "optimized geometry", "lattice_angstrom": [[-0.121, 2.864, 4.815], [5.530, -2.430, 1.584], [7.086, 3.243, -1.751]], "species": ["Sn", "In", "In", "In", "Hg", "In", "Tl", "Tl"], "fractional_positions": [[0.000, 0.500, 0.500], [0.500, 0.271, 0.751], [0.000, 0.735, 0.753], [0.000, 0.265, 0.247], [0.500, 0.500, 0.000], [0.500, 0.729, 0.249], [0.500, 0.000, 0.500], [0.000, 0.000, 0.000]], "volume_a3_per_atom": 28.65, "total_magnetization_mub_per_fu": 0.00, "space_group": "P2/m", "final_energy_ev_per_cell": -19.680, "e_form_ev_per_atom": 0.04}